Here is a relaxed SrGa2HgCl8 crystal from the Alexandria database. Energies are from GGA-PBE.

a = 12.0221 Å, b = 12.0221 Å, c = 12.0221 Å
α = 32.40°, β = 32.40°, γ = 32.40°
Last column: nearest neighbours and their distance in Å.
Fractional positions:
Sr 0.0000 0.0000 0.0000  6 Cl 2.95
Ga 0.2582 0.2582 0.2582  4 Cl 2.13-2.24
Ga 0.7418 0.7418 0.7418  4 Cl 2.13-2.24
Hg 0.5000 0.5000 0.5000  6 Cl 4.00
Cl 0.0335 0.4161 0.7011  1 Ga 2.24
Cl 0.1958 0.1958 0.1958  1 Ga 2.13
Cl 0.2989 0.9665 0.5839  1 Ga 2.24
Cl 0.4161 0.7011 0.0335  1 Ga 2.24
Cl 0.5839 0.2989 0.9665  1 Ga 2.24
Cl 0.7011 0.0335 0.4161  1 Ga 2.24
Cl 0.8042 0.8042 0.8042  1 Ga 2.13
Cl 0.9665 0.5839 0.2989  1 Ga 2.24

Properties
M_tot = 0.0 μB/f.u.
raw formation energy = -16.278 eV/f.u.